# 1
A relaxed structure of SmY8Th2. Source: Alexandria via LeMat-Bulk, functional PBE.

Summary:
ΔE_f ... 2.00 eV per formula unit
Electronic total energy ... -6.2971 eV/atom
SG ... No. 12

Cell lengths 6.6637, 6.6207, 9.0651 Å; angles 111.42, 98.16, 90.00 degrees
Sites, in units of the cell vectors:
1 Th 0.3389 0.2482 0.4965
2 Y 0.1794 0.7981 0.5962
3 Y 0.4051 0.3474 0.1757
4 Y 0.4051 0.8283 0.1757
5 Y 0.5949 0.6526 0.8243
6 Y 0.8206 0.2019 0.4038
7 Y 0.9010 0.5902 0.1805
8 Y 0.0990 0.4098 0.8195
9 Th 0.6611 0.7518 0.5035
10 Y 0.5949 0.1717 0.8243
11 Sm 0.0000 0.0000 0.0000


# 2
A relaxed structure of LaOs2Rh. Source: Alexandria via LeMat-Bulk, functional PBE.

Summary:
ΔE_f ... 1.57 eV per formula unit
Electronic total energy ... -8.2914 eV/atom
SG ... No. 123

Cell lengths 3.9582, 3.9582, 4.5875 Å; angles 90.00, 90.00, 90.00 degrees
Sites, in units of the cell vectors:
1 Rh 0.5000 0.5000 0.5000
2 Os 0.0000 0.5000 0.0000
3 Os 0.5000 0.0000 0.0000
4 La 0.0000 0.0000 0.5000


# 3
A relaxed structure of CaTh4Bi6. Source: Alexandria via LeMat-Bulk, functional PBE.

Summary:
ΔE_f ... -5.66 eV per formula unit
Electronic total energy ... -5.5117 eV/atom
SG ... No. 167

Cell lengths 9.0035, 9.0035, 9.0035 Å; angles 90.26, 90.26, 89.74 degrees
Sites, in units of the cell vectors:
1 Bi 0.9373 0.0782 0.6708
2 Bi 0.1708 0.4218 0.4373
3 Th 0.7500 0.7500 0.2500
4 Ca 0.0000 0.0000 0.0000
5 Bi 0.5782 0.4373 0.1708
6 Th 0.7500 0.3560 0.8560
7 Th 0.2500 0.6440 0.1440
8 Ca 0.5000 0.5000 0.5000
9 Bi 0.5627 0.1708 0.5782
10 Bi 0.0627 0.9218 0.3292
11 Bi 0.6708 0.0627 0.0782
12 Bi 0.9218 0.6708 0.9373
13 Th 0.2500 0.2500 0.7500
14 Th 0.6440 0.8560 0.7500
15 Bi 0.0782 0.3292 0.0627
16 Bi 0.8292 0.5782 0.5627
17 Th 0.3560 0.1440 0.2500
18 Th 0.8560 0.2500 0.3560
19 Bi 0.4373 0.8292 0.4218
20 Bi 0.3292 0.9373 0.9218
21 Th 0.1440 0.7500 0.6440
22 Bi 0.4218 0.5627 0.8292


# 4
A relaxed structure of Th2FeTc. Source: Alexandria via LeMat-Bulk, functional PBE.

Summary:
ΔE_f ... 2.78 eV per formula unit
Electronic total energy ... -7.7231 eV/atom
SG ... No. 166

Cell lengths 3.6064, 3.6064, 8.8345 Å; angles 78.22, 78.22, 60.00 degrees
Sites, in units of the cell vectors:
1 Tc 0.0000 0.0000 0.0000
2 Fe 0.5000 0.5000 0.5000
3 Th 0.9004 0.9004 0.2988
4 Th 0.0996 0.0996 0.7012


# 5
A relaxed structure of Dy4AlNi. Source: Alexandria via LeMat-Bulk, functional PBE.

Summary:
ΔE_f ... -1.99 eV per formula unit
Electronic total energy ... -4.9875 eV/atom
SG ... No. 216

Cell lengths 9.4480, 9.4480, 9.4480 Å; angles 60.00, 60.00, 60.00 degrees
Sites, in units of the cell vectors:
1 Ni 0.6072 0.1783 0.6072
2 Dy 0.5588 0.9412 0.5588
3 Al 0.4806 0.1731 0.1731
4 Ni 0.1783 0.6072 0.6072
5 Al 0.1732 0.4806 0.1731
6 Dy 0.8019 0.3994 0.3994
7 Dy 0.9412 0.5588 0.5588
8 Al 0.1732 0.1731 0.1731
9 Dy 0.1859 0.1859 0.8141
10 Al 0.1732 0.1731 0.4806
11 Dy 0.3994 0.3994 0.3994
12 Dy 0.3994 0.8019 0.3994
13 Dy 0.1859 0.8141 0.8141
14 Dy 0.8141 0.8141 0.1859
15 Ni 0.6072 0.6072 0.6072
16 Dy 0.1859 0.8141 0.1859
17 Dy 0.3994 0.3994 0.8019
18 Dy 0.8141 0.1859 0.1859
19 Ni 0.6072 0.6072 0.1783
20 Dy 0.5588 0.9412 0.9412
21 Dy 0.5588 0.5588 0.9412
22 Dy 0.8141 0.1859 0.8141
23 Dy 0.9412 0.5588 0.9412
24 Dy 0.9412 0.9412 0.5588


# 6
A relaxed structure of Sm2Ho12Sc5. Source: Alexandria via LeMat-Bulk, functional PBE.

Summary:
ΔE_f ... 2.78 eV per formula unit
Electronic total energy ... -4.9079 eV/atom
SG ... No. 12

Cell lengths 8.6806, 9.0997, 8.2625 Å; angles 90.77, 90.00, 118.49 degrees
Sites, in units of the cell vectors:
1 Ho 0.6070 0.6245 0.7765
2 Ho 0.8329 0.6659 0.1299
3 Sc 0.6470 0.2939 0.9425
4 Ho 0.3995 0.2206 0.6143
5 Sm 0.7871 0.0000 0.0000
6 Sc 0.0000 0.0000 0.5000
7 Ho 0.6005 0.7794 0.3857
8 Ho 0.5542 0.1083 0.2820
9 Ho 0.8211 0.2206 0.6143
10 Ho 0.9825 0.3755 0.2235
11 Ho 0.4458 0.8917 0.7180
12 Sc 0.3530 0.7061 0.0575
13 Ho 0.0175 0.6245 0.7765
14 Sc 0.7528 0.5056 0.4537
15 Sm 0.2129 0.0000 0.0000
16 Ho 0.1671 0.3341 0.8701
17 Ho 0.3930 0.3755 0.2235
18 Ho 0.1789 0.7794 0.3857
19 Sc 0.2472 0.4944 0.5463


# 7
A relaxed structure of Ho3Er4Tm. Source: Alexandria via LeMat-Bulk, functional PBE.

Summary:
ΔE_f ... 1.60 eV per formula unit
Electronic total energy ... -4.3564 eV/atom
SG ... No. 65

Cell lengths 5.5383, 3.5188, 13.1729 Å; angles 89.99, 102.13, 90.00 degrees
Sites, in units of the cell vectors:
1 Tm 0.5000 0.0000 0.0000
2 Er 0.7229 0.5006 0.4457
3 Ho 0.0000 0.5000 0.0000
4 Ho 0.1550 0.0005 0.3099
5 Er 0.6029 0.5004 0.2059
6 Er 0.2771 0.4994 0.5543
7 Er 0.3971 0.4996 0.7941
8 Ho 0.8450 0.9995 0.6901


# 8
A relaxed structure of CdFePd6. Source: Alexandria via LeMat-Bulk, functional PBE.

Summary:
ΔE_f ... -1.35 eV per formula unit
Electronic total energy ... -5.2358 eV/atom
SG ... No. 123

Cell lengths 3.9700, 3.9700, 7.8904 Å; angles 90.00, 90.00, 90.00 degrees
Each line ends with the local moment (μB).
Sites, in units of the cell vectors:
1 Pd 0.0000 0.5000 0.7367  0.21
2 Pd 0.0000 0.5000 0.2633  0.21
3 Pd 0.5000 0.0000 0.2633  0.21
4 Pd 0.5000 0.5000 0.0000  0.08
5 Pd 0.5000 0.5000 0.5000  0.27
6 Fe 0.0000 0.0000 0.5000  3.28
7 Cd 0.0000 0.0000 0.0000  -0.02
8 Pd 0.5000 0.0000 0.7367  0.21


# 9
A relaxed structure of La6SbSe2S3. Source: Alexandria via LeMat-Bulk, functional PBE.

Summary:
Electronic total energy ... -6.3690 eV/atom
SG ... No. 12

Cell lengths 4.2758, 8.6287, 9.6096 Å; angles 103.39, 102.85, 90.00 degrees
Sites, in units of the cell vectors:
1 La 0.6731 0.0736 0.3462
2 La 0.9974 0.2677 0.9948
3 Sb 0.5000 0.0000 0.0000
4 S 0.1651 0.8299 0.3302
5 S 0.8349 0.1701 0.6698
6 S 0.5000 0.5000 0.0000
7 La 0.3269 0.9264 0.6538
8 La 0.6624 0.5922 0.3248
9 Se 0.8314 0.6650 0.6628
10 La 0.3376 0.4078 0.6752
11 La 0.0026 0.7323 0.0052
12 Se 0.1686 0.3350 0.3372


# 10
A relaxed structure of TaTcC2. Source: Alexandria via LeMat-Bulk, functional PBE.

Summary:
ΔE_f ... 2.12 eV per formula unit
Electronic total energy ... -9.6376 eV/atom
SG ... No. 225

Cell lengths 3.8663, 3.8663, 3.8663 Å; angles 60.00, 60.00, 60.00 degrees
Sites, in units of the cell vectors:
1 Tc 0.0000 0.0000 0.0000
2 C 0.2500 0.2500 0.2500
3 Ta 0.5000 0.5000 0.5000
4 C 0.7500 0.7500 0.7500


# 11
A relaxed structure of Th2CoNiAg. Source: Alexandria via LeMat-Bulk, functional PBE.

Summary:
ΔE_f ... -1.32 eV per formula unit
Electronic total energy ... -6.3804 eV/atom
SG ... No. 11

Cell lengths 4.1203, 7.4360, 8.2539 Å; angles 123.68, 90.00, 90.00 degrees
Sites, in units of the cell vectors:
1 Th 0.7500 0.7435 0.6643
2 Ni 0.7500 0.5213 0.2604
3 Co 0.7500 0.1364 0.0686
4 Ag 0.7500 0.1753 0.5879
5 Ni 0.2500 0.4787 0.7396
6 Th 0.7500 0.7436 0.0788
7 Co 0.2500 0.8636 0.9314
8 Th 0.2500 0.2564 0.9212
9 Ag 0.2500 0.8247 0.4121
10 Th 0.2500 0.2565 0.3357


# 12
A relaxed structure of PrGdRh4. Source: Alexandria via LeMat-Bulk, functional PBE.

Summary:
ΔE_f ... -4.03 eV per formula unit
Electronic total energy ... -8.7160 eV/atom
SG ... No. 216

Cell lengths 5.4001, 5.4001, 5.4001 Å; angles 60.00, 60.00, 60.00 degrees
Each line ends with the local moment (μB).
Sites, in units of the cell vectors:
1 Pr 0.0000 0.0000 0.0000  0.02
2 Rh 0.1254 0.6249 0.6249  -0.03
3 Gd 0.2500 0.2500 0.2500  6.98
4 Rh 0.6249 0.1254 0.6249  -0.03
5 Rh 0.6249 0.6249 0.1254  -0.03
6 Rh 0.6249 0.6249 0.6249  -0.03


# 13
A relaxed structure of Cs4Hg2Pd. Source: Alexandria via LeMat-Bulk, functional PBE.

Summary:
ΔE_f ... -0.23 eV per formula unit
Electronic total energy ... -1.3489 eV/atom
SG ... No. 139

Cell lengths 6.5766, 6.5766, 10.9333 Å; angles 72.50, 72.50, 90.00 degrees
Sites, in units of the cell vectors:
1 Cs 0.1779 0.1779 0.6442
2 Cs 0.0000 0.5000 0.0000
3 Pd 0.0000 0.0000 0.0000
4 Cs 0.5000 0.0000 0.0000
5 Cs 0.8221 0.8221 0.3558
6 Hg 0.6178 0.6178 0.7643
7 Hg 0.3822 0.3822 0.2357


# 14
A relaxed structure of Cs2RbNa2Hg2. Source: Alexandria via LeMat-Bulk, functional PBE.

Summary:
ΔE_f ... -0.80 eV per formula unit
Electronic total energy ... -0.9596 eV/atom
SG ... No. 12

Cell lengths 5.6832, 7.4367, 10.9446 Å; angles 112.55, 90.00, 112.46 degrees
Sites, in units of the cell vectors:
1 Na 0.2437 0.4873 0.4004
2 Rb 0.0000 0.0000 0.5000
3 Hg 0.7233 0.4466 0.2607
4 Cs 0.5949 0.1898 0.8658
5 Cs 0.4051 0.8102 0.1342
6 Hg 0.2767 0.5534 0.7393
7 Na 0.7563 0.5127 0.5996


# 15
A relaxed structure of La7DyHo3. Source: Alexandria via LeMat-Bulk, functional PBE.

Summary:
ΔE_f ... 1.22 eV per formula unit
Electronic total energy ... -4.6913 eV/atom
SG ... No. 1

Cell lengths 10.2268, 10.3728, 12.9305 Å; angles 118.77, 67.44, 139.73 degrees
Sites, in units of the cell vectors:
1 Ho 0.7263 0.4056 0.7389
2 Ho 0.8413 0.5114 0.2450
3 Ho 0.1019 0.1056 0.0047
4 La 0.0033 0.6900 0.9966
5 Dy 0.5913 0.6110 0.0018
6 La 0.1948 0.8704 0.7409
7 La 0.6742 0.7102 0.2764
8 Ho 0.1500 0.4859 0.7477
9 Ho 0.9944 0.9832 0.5052
10 Dy 0.4989 0.4860 0.5053
11 Ho 0.2471 0.5614 0.2415
12 La 0.4065 0.0449 0.4473
13 La 0.2490 0.1516 0.2355
14 La 0.3016 0.2840 0.7510
15 La 0.0853 0.3734 0.4779
16 La 0.5847 0.9364 0.5821
17 La 0.9531 0.2940 0.9872
18 La 0.7755 0.0991 0.2421
19 La 0.4107 0.8141 0.0405
20 La 0.7484 0.8142 0.7689
21 La 0.9181 0.5770 0.5011
22 La 0.5437 0.1905 0.9623


# 16
A relaxed structure of CeZn3Pt. Source: Alexandria via LeMat-Bulk, functional PBE.

Summary:
ΔE_f ... -2.54 eV per formula unit
Electronic total energy ... -3.6672 eV/atom
SG ... No. 8

Cell lengths 4.9888, 4.9888, 4.9944 Å; angles 103.47, 123.35, 102.49 degrees
Sites, in units of the cell vectors:
1 Zn 0.0988 0.9019 0.0007
2 Zn 0.7973 0.3015 0.7058
3 Zn 0.4043 0.9085 0.7058
4 Ce 0.6008 0.5888 0.1896
5 Pt 0.1019 0.3024 0.4043


# 17
A relaxed structure of Ba2YCu. Source: Alexandria via LeMat-Bulk, functional PBE.

Summary:
ΔE_f ... 0.53 eV per formula unit
Electronic total energy ... -3.4687 eV/atom
SG ... No. 12

Cell lengths 10.0563, 10.0563, 4.3247 Å; angles 77.54, 77.54, 22.28 degrees
Sites, in units of the cell vectors:
1 Y 0.7500 0.7500 0.7500
2 Ba 0.9057 0.9057 0.0950
3 Cu 0.2500 0.2500 0.2500
4 Ba 0.5943 0.5943 0.4050


# 18
A relaxed structure of UPtRh2. Source: Alexandria via LeMat-Bulk, functional PBE.

Summary:
ΔE_f ... -2.04 eV per formula unit
Electronic total energy ... -8.5177 eV/atom
SG ... No. 166

Cell lengths 4.5631, 4.5631, 4.6161 Å; angles 60.38, 60.38, 60.00 degrees
Each line ends with the local moment (μB).
Sites, in units of the cell vectors:
1 Pt 0.0000 0.0000 0.0000  -0.08
2 Rh 0.7550 0.7550 0.7350  -0.13
3 Rh 0.2450 0.2450 0.2650  -0.13
4 U 0.5000 0.5000 0.5000  1.09


# 19
A relaxed structure of LiAcSi. Source: Alexandria via LeMat-Bulk, functional PBE.

Summary:
Electronic total energy ... -4.1610 eV/atom
SG ... No. 51

Cell lengths 4.6172, 4.0958, 8.3573 Å; angles 90.00, 90.00, 90.00 degrees
Sites, in units of the cell vectors:
1 Si 0.8116 0.7162 0.8154
2 Ac 0.3116 0.2162 0.6844
3 Li 0.8116 0.2162 0.2926
4 Si 0.8116 0.2162 0.9776
5 Li 0.8117 0.7161 0.5000
6 Ac 0.3116 0.7162 0.1086


# 20
A relaxed structure of PmNpH2. Source: Alexandria via LeMat-Bulk, functional PBE.

Summary:
Electronic total energy ... -6.1933 eV/atom
SG ... No. 166

Cell lengths 3.4695, 3.4695, 6.1949 Å; angles 73.74, 73.74, 60.00 degrees
Each line ends with the local moment (μB).
Sites, in units of the cell vectors:
1 Np 0.0000 0.0000 0.0000  4.05
2 Pm 0.5000 0.5000 0.5000  0.05
3 H 0.2505 0.2505 0.2485  -0.01
4 H 0.7495 0.7495 0.7515  -0.01